Record 1
A relaxed structure of HfNi2Au. Source: the Alexandria database, functional PBE-GGA.

```
HfNi2Au
1.0
2.141 -5.524 0.000
2.141 5.524 0.000
0.000 0.000 5.261
Hf Ni Au
2 4 2
Direct
0.208 0.792 0.750 Hf
0.792 0.208 0.250 Hf
0.395 0.605 0.032 Ni
0.395 0.605 0.468 Ni
0.605 0.395 0.532 Ni
0.605 0.395 0.968 Ni
0.067 0.933 0.250 Au
0.933 0.067 0.750 Au
```

Summary:
* ΔE_f: -0.2905 eV per atom



Record 2
A relaxed structure of ZnGeRh2Se. Source: the Alexandria database, functional PBE-GGA.

```
ZnGeRh2Se
1.0
4.601 0.000 0.000
0.000 4.601 0.000
0.000 0.000 4.867
Zn Ge Rh Se
1 1 2 1
Direct
0.000 0.000 0.000 Zn
0.500 0.500 0.500 Ge
0.000 0.500 0.500 Rh
0.500 0.000 0.500 Rh
0.500 0.500 0.000 Se
```

Summary:
* uncorrected formation energy: 637 meV/atom



Record 3
A relaxed structure of Cs3CdAg. Source: the Alexandria database, functional PBE-GGA.

```
Cs3CdAg
1.0
5.123 0.000 0.000
0.000 11.388 0.000
0.000 0.000 10.884
Cs Cd Ag
6 2 2
Direct
0.250 0.053 0.166 Cs
0.250 0.447 0.166 Cs
0.250 0.750 0.438 Cs
0.750 0.250 0.562 Cs
0.750 0.553 0.834 Cs
0.750 0.947 0.834 Cs
0.250 0.250 0.857 Cd
0.750 0.750 0.143 Cd
0.250 0.750 0.028 Ag
0.750 0.250 0.972 Ag
```

Summary:
* offset from the most stable computed form: 0 meV/atom
* ΔE_f: -0.0155 eV per atom



Record 4
A relaxed structure of Ac2Cd2Ag3. Source: the Alexandria database, functional PBE-GGA.

```
Ac2Cd2Ag3
1.0
2.253 -10.280 0.000
2.253 10.280 0.000
0.000 0.000 8.241
Ac Cd Ag
4 4 6
Direct
0.060 0.940 0.750 Ac
0.152 0.848 0.250 Ac
0.848 0.152 0.750 Ac
0.940 0.060 0.250 Ac
0.310 0.690 0.058 Cd
0.310 0.690 0.442 Cd
0.690 0.310 0.558 Cd
0.690 0.310 0.942 Cd
0.229 0.771 0.750 Ag
0.441 0.559 0.575 Ag
0.441 0.559 0.925 Ag
0.559 0.441 0.075 Ag
0.559 0.441 0.425 Ag
0.771 0.229 0.250 Ag
```

Summary:
* offset from the most stable computed form: 0 meV/atom
* ΔE_f: -0.2810 eV per atom



Record 5
A relaxed structure of Ho2ClO2. Source: the Alexandria database, functional PBE-GGA.

```
Ho2ClO2
1.0
5.543 -2.264 0.000
5.543 2.264 0.000
-2.362 0.000 7.409
Ho Cl O
4 2 4
Direct
0.010 0.010 0.233 Ho
0.333 0.333 0.933 Ho
0.667 0.667 0.067 Ho
0.990 0.990 0.767 Ho
0.166 0.166 0.585 Cl
0.834 0.834 0.415 Cl
0.147 0.147 0.048 O
0.500 0.500 0.185 O
0.500 0.500 0.815 O
0.853 0.853 0.952 O
```

Summary:
* uncorrected formation energy: -2842 meV/atom



Record 6
A relaxed structure of Tl3Bi2Te6Pb. Source: the Alexandria database, functional PBE-GGA.

```
Tl3Bi2Te6Pb
1.0
3.972 -6.894 0.000
3.972 6.894 0.000
-2.657 0.000 7.777
Tl Bi Te Pb
3 2 6 1
Direct
0.000 0.000 0.000 Tl
0.335 0.665 0.000 Tl
0.665 0.335 0.000 Tl
0.168 0.832 0.500 Bi
0.832 0.168 0.500 Bi
0.081 0.422 0.267 Te
0.236 0.236 0.730 Te
0.422 0.081 0.267 Te
0.578 0.919 0.733 Te
0.764 0.764 0.270 Te
0.919 0.578 0.733 Te
0.500 0.500 0.500 Pb
```

Summary:
* uncorrected formation energy: -293 meV/atom



Record 7
A relaxed structure of Li2Pa5Se12. Source: the Alexandria database, functional PBE-GGA.

```
Li2Pa5Se12
1.0
7.929 -3.625 0.000
7.929 3.625 0.000
-2.633 0.000 8.717
Li Pa Se
2 5 12
Direct
0.248 0.752 0.000 Li
0.752 0.248 0.000 Li
0.000 0.000 0.500 Pa
0.309 0.309 0.658 Pa
0.321 0.321 0.154 Pa
0.679 0.679 0.846 Pa
0.691 0.691 0.342 Pa
0.009 0.009 0.788 Se
0.079 0.576 0.906 Se
0.097 0.596 0.430 Se
0.404 0.903 0.570 Se
0.424 0.921 0.094 Se
0.497 0.497 0.769 Se
0.503 0.503 0.231 Se
0.576 0.079 0.906 Se
0.596 0.097 0.430 Se
0.903 0.404 0.570 Se
0.921 0.424 0.094 Se
0.991 0.991 0.212 Se
```

Summary:
* uncorrected formation energy: -1245 meV/atom
* offset from the most stable computed form: 10 meV/atom



Record 8
A relaxed structure of CeMg2ScCd2. Source: the Alexandria database, functional PBE-GGA.

```
CeMg2ScCd2
1.0
5.056 0.000 0.000
-2.528 4.378 0.000
0.000 0.000 6.431
Ce Mg Sc Cd
1 2 1 2
Direct
0.000 0.000 0.000 Ce
0.333 0.667 0.734 Mg
0.667 0.333 0.266 Mg
0.000 0.000 0.500 Sc
0.333 0.667 0.252 Cd
0.667 0.333 0.748 Cd
```

Summary:
* ΔE_f: -0.1517 eV per atom



| no. | total magnetic moment (μB per formula unit) |
| --- | --- |
| 1 | 0.000 |
| 2 | 0.000 |
| 3 | 0.000 |
| 4 | 0.000 |
| 5 | 0.000 |
| 6 | 0.000 |
| 7 | 3.117 |
| 8 | 1.255 |